# CrBNF2 (PBE with a Hubbard U, optimized geometry)
data_CrBNF2
_space_group_name_H-M_alt 'P 4/m m m'
_space_group_IT_number 123
_space_group_name_Hall '-P 4 2'
_cell_length_a 4.294
_cell_length_b 4.294
_cell_length_c 2.740
_cell_angle_alpha 90.00
_cell_angle_beta 90.00
_cell_angle_gamma 90.00
loop_
_atom_site_label
_atom_site_type_symbol
_atom_site_fract_x
_atom_site_fract_y
_atom_site_fract_z
Cr1 Cr 0.000 0.000 0.000
B1 B 0.500 0.500 0.500
N1 N 0.500 0.500 0.000
F1 F 0.000 0.500 0.500
# ΔE to the lowest computed polymorph   0.00 eV per formula unit
# Energy   -6.135 eV/atom
# M_tot   4.2 μB/f.u.
# N(E_F)   1.7 states/eV/f.u.
# Mass density   3.8 g/cm³